meta-GGA SCAN BTe3Os, single point on PBEsol structure; total magnetic moment = 0.000 μB/cell; DFT total energy = -183.90 eV/cell; space-group type = Pm-3m (221); raw formation energy = 1.432 eV/atom
1.0
4.592 0.000 0.000
0.000 4.592 0.000
0.000 0.000 4.592
B Te Os
1 3 1
Direct
0.000 0.000 0.000
0.000 0.000 0.500
0.000 0.500 0.000
0.500 0.000 0.000
0.500 0.500 0.500

---

meta-GGA SCAN SrNb2CuO6F, single point on PBEsol structure; total magnetic moment = 0.041 μB/cell; DFT total energy = -174.22 eV/cell; space-group type = I-4m2 (119); raw formation energy = -2.687 eV/atom
1.0
-1.913 1.913 9.825
1.913 -1.913 9.825
1.913 1.913 -9.825
Sr Nb Cu O F
1 2 1 6 1
Direct
0.000 0.000 0.000
0.376 0.376 0.000
0.624 0.624 0.000
0.250 0.750 0.500
0.093 0.593 0.500
0.283 0.283 0.000
0.407 0.907 0.500
0.597 0.097 0.500
0.717 0.717 0.000
0.903 0.403 0.500
0.500 0.500 0.000

---

meta-GGA SCAN CdRhW2C, single point on PBEsol structure; energy relative to the elements = 0.678 eV per atom; total magnetic moment = 0.000 μB/cell; DFT total energy = -210.27 eV/cell; space-group type = P4/mmm (123)
1.0
4.063 0.000 0.000
0.000 4.063 0.000
0.000 0.000 4.428
Cd Rh W C
1 1 2 1
Direct
0.000 0.000 0.000
0.500 0.500 0.000
0.000 0.500 0.500
0.500 0.000 0.500
0.000 0.000 0.500